1.
# GGA-PBE ZrZn3Au, relaxed
# volume: 28.76 Å³/atom
# M_tot: 0.00 μB/cell
# E_tot: -2.05 eV/atom
data_ZrZn3Au
_cell_length_a 5.239
_cell_length_b 5.239
_cell_length_c 5.239
_cell_angle_alpha 90.00
_cell_angle_beta 90.00
_cell_angle_gamma 90.00
_space_group_name_H-M_alt 'P m -3 m'
_space_group_IT_number 221
_space_group_name_Hall '-P 4 2 3'
loop_
_atom_site_label
_atom_site_fract_x
_atom_site_fract_y
_atom_site_fract_z
Zr1 0.000 0.000 0.000
Zn1 0.000 0.000 0.500
Au1 0.500 0.500 0.500


2.
# GGA-PBE Zr2Zn3Au, relaxed
# volume: 18.95 Å³/atom
# M_tot: 0.00 μB/cell
# E_tot: -4.23 eV/atom
data_Zr2Zn3Au
_cell_length_a 3.367
_cell_length_b 4.134
_cell_length_c 16.331
_cell_angle_alpha 90.00
_cell_angle_beta 90.00
_cell_angle_gamma 90.00
_space_group_name_H-M_alt 'I m m 2'
_space_group_IT_number 44
_space_group_name_Hall 'I 2 -2'
loop_
_atom_site_label
_atom_site_fract_x
_atom_site_fract_y
_atom_site_fract_z
Zr1 0.000 0.000 0.000
Zr2 0.000 0.500 0.223
Zn1 0.000 0.000 0.573
Zn2 0.000 0.500 0.649
Zn3 0.000 0.500 0.798
Au1 0.000 0.000 0.414


3.
# GGA-PBE Zr2Zn16Au, relaxed
# volume: 15.46 Å³/atom
# M_tot: 0.00 μB/cell
# E_tot: -2.31 eV/atom
data_Zr2Zn16Au
_cell_length_a 8.8467
_cell_length_b 8.8467
_cell_length_c 13.0003
_cell_angle_alpha 90.00
_cell_angle_beta 90.00
_cell_angle_gamma 120.00
_space_group_name_H-M_alt 'R 3 m'
_space_group_IT_number 160
_space_group_name_Hall 'R 3 -2"'
loop_
_atom_site_label
_atom_site_fract_x
_atom_site_fract_y
_atom_site_fract_z
Zr1 0.0000 0.0000 0.0000
Zr2 0.0000 0.0000 0.3289
Zn1 0.0000 0.0000 0.5578
Zn2 0.0005 0.3035 0.6630
Zn3 0.0038 0.5019 0.1626
Zn4 0.0132 0.5066 0.8134
Zn5 0.1735 0.3470 0.8455
Au1 0.0000 0.0000 0.7649


4.
# GGA-PBE Zr2ZnAu2, relaxed
# volume: 20.98 Å³/atom
# M_tot: 0.00 μB/cell
# E_tot: -5.21 eV/atom
data_Zr2ZnAu2
_cell_length_a 7.903
_cell_length_b 7.903
_cell_length_c 3.360
_cell_angle_alpha 90.00
_cell_angle_beta 90.00
_cell_angle_gamma 90.00
_space_group_name_H-M_alt 'P 4/m b m'
_space_group_IT_number 127
_space_group_name_Hall '-P 4 2ab'
loop_
_atom_site_label
_atom_site_fract_x
_atom_site_fract_y
_atom_site_fract_z
Zr1 0.169 0.331 0.000
Zn1 0.000 0.000 0.000
Au1 0.129 0.629 0.500


5.
# GGA-PBE ZrZn6Au3, relaxed
# volume: 17.16 Å³/atom
# M_tot: 0.00 μB/cell
# E_tot: -2.80 eV/atom
data_ZrZn6Au3
_cell_length_a 8.892
_cell_length_b 3.311
_cell_length_c 12.099
_cell_angle_alpha 90.00
_cell_angle_beta 105.56
_cell_angle_gamma 90.00
_space_group_name_H-M_alt 'P 1 21/m 1'
_space_group_IT_number 11
_space_group_name_Hall '-P 2yb'
loop_
_atom_site_label
_atom_site_fract_x
_atom_site_fract_y
_atom_site_fract_z
Zr1 0.036 0.250 0.258
Zn1 0.105 0.750 0.471
Zn2 0.180 0.250 0.660
Zn3 0.180 0.250 0.913
Zn4 0.347 0.250 0.214
Zn5 0.403 0.750 0.613
Zn6 0.418 0.750 0.056
Au1 0.125 0.750 0.084
Au2 0.328 0.250 0.430
Au3 0.357 0.750 0.822


6.
# GGA-PBE Zr3Zn8Au, relaxed
# volume: 16.54 Å³/atom
# M_tot: 1.96 μB/cell
# E_tot: -3.51 eV/atom
data_Zr3Zn8Au
_cell_length_a 5.2000
_cell_length_b 5.2000
_cell_length_c 25.4214
_cell_angle_alpha 90.00
_cell_angle_beta 90.00
_cell_angle_gamma 120.00
_space_group_name_H-M_alt 'R 3 m'
_space_group_IT_number 160
_space_group_name_Hall 'R 3 -2"'
loop_
_atom_site_label
_atom_site_fract_x
_atom_site_fract_y
_atom_site_fract_z
Zr1 0.0000 0.0000 0.0000
Zr2 0.0000 0.0000 0.1250
Zr3 0.0000 0.0000 0.6198
Zn1 0.0000 0.0000 0.3112
Zn2 0.0000 0.0000 0.8104
Zn3 0.9997 0.4998 0.5620
Zn4 0.1685 0.3371 0.3930
Au1 0.0000 0.0000 0.4978